A plane-wave DFT calculation with PBE was carried out for a relaxed CaYTiAs2 crystal.

The space group is P4/mmm (No. 123) and the conventional cell measures 5.270, 5.270 and 4.560 Å, with angles of 90.00, 90.00 and 90.00 degrees. The distinct sites, in fractional coordinates, are Ca at (0.000, 0.000, 0.000), Y at (0.500, 0.500, 0.500), Ti at (0.000, 0.000, 0.500) and As at (0.000, 0.500, 0.000).

Its density is 4.28 Mg/m³. The calculation puts the formation energy at 562 meV per atom. The size of the total moment comes out at 1.1 μB per formula unit. The total energy is -22.85 eV per formula unit.